CsSi: PBEsol geometry, meta-GGA SCAN.

- Mass density: 3.60 g/cm3
- ΔE_f (raw): -0.12 eV per atom
- Space-group type: P-43n
- Offset from the most stable computed form: 0 meV per atom
- Calculated volume: 74 Å³/f.u.

a = 13.3504 Å, b = 13.3504 Å, c = 13.3504 Å
α = 90.00°, β = 90.00°, γ = 90.00°
Atoms (fractional coordinates):
Si1 0.3130 0.5686 0.9396
Si2 0.0641 0.9359 0.9359
Si3 0.5686 0.9396 0.3130
Si4 0.5604 0.9314 0.8130
Si5 0.5641 0.4359 0.4359
Si6 0.4396 0.9314 0.1870
Si7 0.0686 0.8130 0.4396
Si8 0.0686 0.1870 0.5604
Si9 0.9396 0.6870 0.4314
Si10 0.5641 0.5641 0.5641
Si11 0.4396 0.0686 0.8130
Si12 0.8130 0.5604 0.9314
Si13 0.4314 0.0604 0.3130
Si14 0.9396 0.3130 0.5686
Si15 0.5686 0.0604 0.6870
Si16 0.4359 0.5641 0.4359
Si17 0.1870 0.4396 0.9314
Si18 0.6870 0.5686 0.0604
Si19 0.5604 0.0686 0.1870
Si20 0.9359 0.0641 0.9359
Si21 0.0604 0.3130 0.4314
Si22 0.3130 0.4314 0.0604
Si23 0.4359 0.4359 0.5641
Si24 0.9314 0.1870 0.4396
Si25 0.9359 0.9359 0.0641
Si26 0.4314 0.9396 0.6870
Si27 0.1870 0.5604 0.0686
Si28 0.0641 0.0641 0.0641
Si29 0.6870 0.4314 0.9396
Si30 0.9314 0.8130 0.5604
Si31 0.0604 0.6870 0.5686
Si32 0.8130 0.4396 0.0686
Cs1 0.5662 0.3575 0.1631
Cs2 0.3369 0.8575 0.9338
Cs3 0.1631 0.4338 0.6425
Cs4 0.8331 0.8331 0.8331
Cs5 0.6425 0.1631 0.4338
Cs6 0.0662 0.6631 0.8575
Cs7 0.6669 0.6669 0.3331
Cs8 0.3331 0.3331 0.3331
Cs9 0.5662 0.6425 0.8369
Cs10 0.1425 0.9338 0.6631
Cs11 0.6669 0.3331 0.6669
Cs12 0.4338 0.6425 0.1631
Cs13 0.0662 0.3369 0.1425
Cs14 0.4338 0.3575 0.8369
Cs15 0.8575 0.9338 0.3369
Cs16 0.3331 0.6669 0.6669
Cs17 0.1425 0.0662 0.3369
Cs18 0.3575 0.8369 0.4338
Cs19 0.3369 0.1425 0.0662
Cs20 0.1669 0.1669 0.8331
Cs21 0.6425 0.8369 0.5662
Cs22 0.6631 0.1425 0.9338
Cs23 0.1669 0.8331 0.1669
Cs24 0.8575 0.0662 0.6631
Cs25 0.8369 0.4338 0.3575
Cs26 0.8369 0.5662 0.6425
Cs27 0.8331 0.1669 0.1669
Cs28 0.9338 0.3369 0.8575
Cs29 0.9338 0.6631 0.1425
Cs30 0.1631 0.5662 0.3575
Cs31 0.6631 0.8575 0.0662
Cs32 0.3575 0.1631 0.5662

=====

CsSi: PBEsol geometry, meta-GGA SCAN.

- Mass density: 3.77 g/cm3
- ΔE_f (raw): -0.11 eV per atom
- Space-group type: I4_1/acd
- Offset from the most stable computed form: 15 meV per atom
- Calculated volume: 71 Å³/f.u.

a = 11.1709 Å, b = 12.0465 Å, c = 11.1709 Å
α = 62.38°, β = 90.00°, γ = 117.62°
Atoms (fractional coordinates):
Cs1 0.6299 0.5000 0.1299
Cs2 0.1201 0.0000 0.6201
Cs3 0.6250 0.7500 0.7665
Cs4 0.3799 0.0000 0.1201
Cs5 0.8701 0.5000 0.3701
Cs6 0.7665 0.2500 0.1250
Cs7 0.3701 0.5000 0.6299
Cs8 0.8799 0.0000 0.3799
Cs9 0.1250 0.7500 0.4835
Cs10 0.1299 0.5000 0.8701
Cs11 0.2665 0.2500 0.1250
Cs12 0.6250 0.7500 0.2665
Cs13 0.9835 0.2500 0.6250
Cs14 0.4835 0.2500 0.6250
Cs15 0.6201 0.0000 0.8799
Cs16 0.1250 0.7500 0.9835
Si1 0.6394 0.0942 0.5098
Si2 0.1394 0.0942 0.8960
Si3 0.2952 0.4058 0.3540
Si4 0.8540 0.5942 0.7952
Si5 0.7402 0.5942 0.6106
Si6 0.4548 0.0942 0.3960
Si7 0.3960 0.9058 0.6394
Si8 0.5098 0.9058 0.4548
Si9 0.6106 0.4058 0.8540
Si10 0.2402 0.5942 0.2952
Si11 0.7952 0.4058 0.7402
Si12 0.3540 0.5942 0.1106
Si13 0.0098 0.9058 0.1394
Si14 0.1106 0.4058 0.2402
Si15 0.9548 0.0942 0.0098
Si16 0.8960 0.9058 0.9548

=====

CsTaSi3: PBEsol geometry, meta-GGA SCAN.

- Mass density: 5.16 g/cm3
- ΔE_f (raw): 3.19 eV per atom
- Space-group type: Pm-3m
- Calculated volume: 128 Å³/f.u.

a = 5.0422 Å, b = 5.0422 Å, c = 5.0422 Å
α = 90.00°, β = 90.00°, γ = 90.00°
Atoms (fractional coordinates):
Cs1 0.0000 0.0000 0.0000
Ta1 0.5000 0.5000 0.5000
Si1 0.0000 0.5000 0.0000
Si2 0.5000 0.0000 0.0000
Si3 0.0000 0.0000 0.5000

=====

CsYTaSi2: PBEsol geometry, meta-GGA SCAN.

- Mass density: 5.49 g/cm3
- ΔE_f (raw): 2.43 eV per atom
- Space-group type: P4/mmm
- Calculated volume: 139 Å³/f.u.

a = 5.0768 Å, b = 5.2303 Å, c = 5.2303 Å
α = 90.00°, β = 90.00°, γ = 90.00°
Atoms (fractional coordinates):
Si1 0.0000 0.0000 0.5000
Si2 0.0000 0.5000 0.0000
Y1 0.5000 0.5000 0.5000
Cs1 0.0000 0.0000 0.0000
Ta1 0.5000 0.0000 0.0000

=====

CsYSi3: PBEsol geometry, meta-GGA SCAN.

- Mass density: 3.51 g/cm3
- ΔE_f (raw): 1.89 eV per atom
- Space-group type: Pm-3m
- Calculated volume: 145 Å³/f.u.

a = 5.2508 Å, b = 5.2508 Å, c = 5.2508 Å
α = 90.00°, β = 90.00°, γ = 90.00°
Atoms (fractional coordinates):
Y1 0.5000 0.5000 0.5000
Si1 0.5000 0.0000 0.0000
Si2 0.0000 0.5000 0.0000
Si3 0.0000 0.0000 0.5000
Cs1 0.0000 0.0000 0.0000

=====

CsSmZnTe3: PBEsol geometry, meta-GGA SCAN.

- Mass density: 5.66 g/cm3
- ΔE_f (raw): -1.24 eV per atom
- Space-group type: Cmcm
- Calculated volume: 215 Å³/f.u.

a = 4.3889 Å, b = 8.6664 Å, c = 11.6629 Å
α = 90.00°, β = 90.00°, γ = 104.67°
Atoms (fractional coordinates):
Zn1 0.4636 0.9272 0.2500
Zn2 0.5364 0.0728 0.7500
Sm1 0.0000 0.0000 0.5000
Sm2 0.0000 0.0000 0.0000
Cs1 0.7461 0.4921 0.2500
Cs2 0.2539 0.5079 0.7500
Te1 0.6237 0.2473 0.5619
Te2 0.3763 0.7527 0.0619
Te3 0.6237 0.2473 0.9381
Te4 0.0617 0.1233 0.2500
Te5 0.3763 0.7527 0.4381
Te6 0.9383 0.8767 0.7500

=====

CsSn3: PBEsol geometry, meta-GGA SCAN.

- Formation enthalpy at 0 K: -4.6 kcal/mol of atoms
- Mass density: 5.53 g/cm3
- Space-group type: P6_3/mmc
- Calculated volume: 147 Å³/f.u.

a = 5.4021 Å, b = 7.9202 Å, c = 7.9202 Å
α = 120.00°, β = 90.00°, γ = 90.00°
Atoms (fractional coordinates):
Sn1 0.7500 0.7458 0.8729
Sn2 0.7500 0.1271 0.8729
Sn3 0.7500 0.1271 0.2542
Sn4 0.2500 0.8729 0.1271
Sn5 0.2500 0.8729 0.7458
Sn6 0.2500 0.2542 0.1271
Cs1 0.7500 0.6667 0.3333
Cs2 0.2500 0.3333 0.6667

=====

CsSn: PBEsol geometry, meta-GGA SCAN.

- Formation enthalpy at 0 K: -9.3 kcal/mol of atoms
- Mass density: 4.80 g/cm3
- Space-group type: I4_1/acd
- Calculated volume: 87 Å³/f.u.

a = 11.9365 Å, b = 12.9207 Å, c = 11.9365 Å
α = 62.49°, β = 90.00°, γ = 117.51°
Atoms (fractional coordinates):
Cs1 0.6193 0.0000 0.1193
Cs2 0.6250 0.7500 0.9824
Cs3 0.1250 0.7500 0.7676
Cs4 0.6307 0.5000 0.3693
Cs5 0.2676 0.2500 0.6250
Cs6 0.6250 0.7500 0.4824
Cs7 0.7676 0.2500 0.6250
Cs8 0.4824 0.2500 0.1250
Cs9 0.8693 0.5000 0.1307
Cs10 0.1307 0.5000 0.6307
Cs11 0.1250 0.7500 0.2676
Cs12 0.1193 0.0000 0.3807
Cs13 0.9824 0.2500 0.1250
Cs14 0.3693 0.5000 0.8693
Cs15 0.8807 0.0000 0.6193
Cs16 0.3807 0.0000 0.8807
Sn1 0.5084 0.8927 0.6600
Sn2 0.1600 0.1073 0.0084
Sn3 0.8843 0.8927 0.1600
Sn4 0.3028 0.3927 0.2416
Sn5 0.3657 0.6073 0.3028
Sn6 0.7416 0.6073 0.8028
Sn7 0.0900 0.3927 0.3657
Sn8 0.8028 0.3927 0.8657
Sn9 0.0084 0.8927 0.9472
Sn10 0.3843 0.8927 0.4472
Sn11 0.2416 0.6073 0.0900
Sn12 0.8657 0.6073 0.5900
Sn13 0.9472 0.1073 0.8843
Sn14 0.5900 0.3927 0.7416
Sn15 0.4472 0.1073 0.5084
Sn16 0.6600 0.1073 0.3843

=====

CsTcSn3: PBEsol geometry, meta-GGA SCAN.

- Formation enthalpy at 0 K: 54.1 kcal/mol of atoms
- Mass density: 4.87 g/cm3
- Space-group type: Pm-3m
- Calculated volume: 200 Å³/f.u.

a = 5.8495 Å, b = 5.8495 Å, c = 5.8495 Å
α = 90.00°, β = 90.00°, γ = 90.00°
Atoms (fractional coordinates):
Sn1 0.5000 0.0000 0.0000
Sn2 0.0000 0.0000 0.5000
Sn3 0.0000 0.5000 0.0000
Cs1 0.0000 0.0000 0.0000
Tc1 0.5000 0.5000 0.5000

=====

Cs3SnTe: PBEsol geometry, meta-GGA SCAN.

- Mass density: 2.90 g/cm3
- ΔE_f (raw): -0.42 eV per atom
- Space-group type: Pm-3m
- Offset from the most stable computed form: 0 meV per atom
- Calculated volume: 370 Å³/f.u.

a = 7.1765 Å, b = 7.1765 Å, c = 7.1765 Å
α = 90.00°, β = 90.00°, γ = 90.00°
Atoms (fractional coordinates):
Cs1 0.0000 0.5000 0.0000
Cs2 0.5000 0.0000 0.0000
Cs3 0.0000 0.0000 0.5000
Sn1 0.5000 0.5000 0.5000
Te1 0.0000 0.0000 0.0000

=====

Cs3SnTe3: PBEsol geometry, meta-GGA SCAN.

- Mass density: 4.76 g/cm3
- ΔE_f (raw): -1.00 eV per atom
- Space-group type: C2/c
- Calculated volume: 314 Å³/f.u.

a = 10.1850 Å, b = 11.2584 Å, c = 11.2584 Å
α = 100.91°, β = 95.84°, γ = 84.16°
Atoms (fractional coordinates):
Te1 0.0223 0.5508 0.3168
Te2 0.4777 0.3168 0.5508
Te3 0.5223 0.6832 0.4492
Te4 0.9211 0.7954 0.9495
Te5 0.5789 0.9495 0.7954
Te6 0.1798 0.9549 0.5768
Te7 0.6798 0.4232 0.0451
Te8 0.3202 0.5768 0.9549
Te9 0.8202 0.0451 0.4232
Te10 0.9777 0.4492 0.6832
Te11 0.4211 0.0505 0.2046
Te12 0.0789 0.2046 0.0505
Cs1 0.2500 0.9103 0.9103
Cs2 0.1890 0.8069 0.2422
Cs3 0.3110 0.2422 0.8069
Cs4 0.1353 0.2168 0.3994
Cs5 0.2500 0.6063 0.6063
Cs6 0.7500 0.3937 0.3937
Cs7 0.6353 0.6006 0.7832
Cs8 0.8110 0.1931 0.7578
Cs9 0.3647 0.3994 0.2168
Cs10 0.7500 0.0897 0.0897
Cs11 0.8647 0.7832 0.6006
Cs12 0.6890 0.7578 0.1931
Sn1 0.5479 0.0824 0.4339
Sn2 0.4521 0.9176 0.5661
Sn3 0.9521 0.4339 0.0824
Sn4 0.0479 0.5661 0.9176

=====

Cs2Sn2Te: PBEsol geometry, meta-GGA SCAN.

- Mass density: 4.87 g/cm3
- ΔE_f (raw): 0.11 eV per atom
- Space-group type: I4/mmm
- Calculated volume: 215 Å³/f.u.

a = 5.3665 Å, b = 5.3665 Å, c = 8.3811 Å
α = 108.67°, β = 108.67°, γ = 90.00°
Atoms (fractional coordinates):
Sn1 0.4141 0.4141 0.8281
Sn2 0.5859 0.5859 0.1719
Te1 0.0000 0.0000 0.0000
Cs1 0.2500 0.7500 0.5000
Cs2 0.7500 0.2500 0.5000